# HoCdIrAu, optimized geometry, DFT PBE-GGA
# VASP energy, eV/atom: -4.8576
# Magnetization, μB per formula unit: 0.00
# Formation energy from the elements, kJ/mol of atoms: -43.4
data_HoCdIrAu
_chemical_formula_sum 'Ho4 Cd4 Ir4 Au4'
_symmetry_space_group_name_H-M 'F -4 3 m'
_symmetry_Int_Tables_number 216
_symmetry_space_group_name_Hall 'F -4 2 3'
_cell_length_a 6.812
_cell_length_b 6.812
_cell_length_c 6.812
_cell_angle_alpha 90.00
_cell_angle_beta 90.00
_cell_angle_gamma 90.00
loop_
_atom_site_label
_atom_site_type_symbol
_atom_site_fract_x
_atom_site_fract_y
_atom_site_fract_z
_atom_site_occupancy
Ho1 Ho 0.000 0.000 0.000 1
Cd1 Cd 0.000 0.000 0.500 1
Ir1 Ir 0.250 0.250 0.250 1
Au1 Au 0.250 0.250 0.750 1

***

# Ce2CdSi3Au4, optimized geometry, DFT PBE-GGA
# VASP energy, eV/atom: -4.7173
# Magnetization, μB per formula unit: 1.26
data_Ce2CdSi3Au4
_chemical_formula_sum 'Ce2 Cd1 Si3 Au4'
_symmetry_space_group_name_H-M 'P -4 m 2'
_symmetry_Int_Tables_number 115
_cell_length_a 4.317
_cell_length_b 4.317
_cell_length_c 10.941
_cell_angle_alpha 90.00
_cell_angle_beta 90.00
_cell_angle_gamma 90.00
loop_
_symmetry_equiv_pos_as_xyz
'x,y,z'
'y,-x,-z'
'-x,-y,z'
'-y,x,-z'
'-x,y,z'
'-y,-x,-z'
'x,-y,z'
'y,x,-z'
loop_
_atom_site_label
_atom_site_type_symbol
_atom_site_fract_x
_atom_site_fract_y
_atom_site_fract_z
_atom_site_occupancy
Ce1 Ce 0.000 0.500 0.234 1
Cd1 Cd 0.000 0.000 0.500 1
Si1 Si 0.000 0.500 0.870 1
Si2 Si 0.500 0.500 0.500 1
Au1 Au 0.000 0.000 0.000 1
Au2 Au 0.000 0.500 0.651 1
Au3 Au 0.500 0.500 0.000 1

***

# Tb3Pr6Sm, optimized geometry, DFT PBE-GGA
# VASP energy, eV/atom: -4.5928
# E above lowest polymorph, meV/atom: 15
# Magnetization, μB per formula unit: 0.00
# Formation energy from the elements, kJ/mol of atoms: 13.1
data_Tb3Pr6Sm
_chemical_formula_sum 'Tb12 Pr24 Sm4'
_symmetry_space_group_name_H-M 'C m c 21'
_symmetry_Int_Tables_number 36
_cell_length_a 11.072
_cell_length_b 19.451
_cell_length_c 6.465
_cell_angle_alpha 90.00
_cell_angle_beta 90.00
_cell_angle_gamma 90.00
loop_
_symmetry_equiv_pos_as_xyz
'x,y,z'
'-x,-y,z+1/2'
'-x,y,z'
'x,-y,z+1/2'
'x+1/2,y+1/2,z'
'-x+1/2,-y+1/2,z+1/2'
'-x+1/2,y+1/2,z'
'x+1/2,-y+1/2,z+1/2'
loop_
_atom_site_label
_atom_site_type_symbol
_atom_site_fract_x
_atom_site_fract_y
_atom_site_fract_z
_atom_site_occupancy
Tb1 Tb 0.000 0.117 0.000 1
Tb2 Tb 0.174 0.383 0.627 1
Pr1 Pr 0.000 0.219 0.437 1
Pr2 Pr 0.000 0.465 0.223 1
Pr3 Pr 0.169 0.040 0.536 1
Pr4 Pr 0.233 0.208 0.717 1
Sm1 Sm 0.000 0.307 0.979 1

***

# AcNiH3, optimized geometry, DFT PBE-GGA
# VASP energy, eV/atom: -4.3893
# E above lowest polymorph, meV/atom: 0
# Magnetization, μB per formula unit: 0.00
data_AcNiH3
_chemical_formula_sum 'Ac4 Ni4 H12'
_symmetry_space_group_name_H-M 'C 1 2/c 1'
_symmetry_Int_Tables_number 15
_cell_length_a 4.710
_cell_length_b 7.815
_cell_length_c 7.016
_cell_angle_alpha 90.00
_cell_angle_beta 96.76
_cell_angle_gamma 90.00
loop_
_symmetry_equiv_pos_as_xyz
'x,y,z'
'-x,-y,-z'
'-x,y,-z+1/2'
'x,-y,z+1/2'
'x+1/2,y+1/2,z'
'-x+1/2,-y+1/2,-z'
'-x+1/2,y+1/2,-z+1/2'
'x+1/2,-y+1/2,z+1/2'
loop_
_atom_site_label
_atom_site_type_symbol
_atom_site_fract_x
_atom_site_fract_y
_atom_site_fract_z
_atom_site_occupancy
Ac1 Ac 0.000 0.173 0.250 1
Ni1 Ni 0.000 0.500 0.000 1
H1 H 0.000 0.474 0.750 1
H2 H 0.211 0.099 0.942 1

***

# ScSb2Ru2, optimized geometry, DFT PBE-GGA
# VASP energy, eV/atom: -6.8100
# E above lowest polymorph, meV/atom: 0
# Magnetization, μB per formula unit: 0.70
data_ScSb2Ru2
_chemical_formula_sum 'Sc2 Sb4 Ru4'
_symmetry_space_group_name_H-M 'P 4/m b m'
_symmetry_Int_Tables_number 127
_symmetry_space_group_name_Hall '-P 4 2ab'
_cell_length_a 7.617
_cell_length_b 7.617
_cell_length_c 3.228
_cell_angle_alpha 90.00
_cell_angle_beta 90.00
_cell_angle_gamma 90.00
loop_
_atom_site_label
_atom_site_type_symbol
_atom_site_fract_x
_atom_site_fract_y
_atom_site_fract_z
_atom_site_occupancy
Sc1 Sc 0.000 0.000 0.000 1
Sb1 Sb 0.162 0.338 0.500 1
Ru1 Ru 0.135 0.635 0.000 1

***

# PPt2C2, optimized geometry, DFT PBE-GGA
# VASP energy, eV/atom: -6.1708
# E above lowest polymorph, meV/atom: 0
# Magnetization, μB per formula unit: 0.00
# Formation energy from the elements, kJ/mol of atoms: 98.1
data_PPt2C2
_chemical_formula_sum 'P2 Pt4 C4'
_symmetry_space_group_name_H-M 'I 4/m m m'
_symmetry_Int_Tables_number 139
_symmetry_space_group_name_Hall '-I 4 2'
_cell_length_a 4.086
_cell_length_b 4.086
_cell_length_c 7.152
_cell_angle_alpha 90.00
_cell_angle_beta 90.00
_cell_angle_gamma 90.00
loop_
_atom_site_label
_atom_site_type_symbol
_atom_site_fract_x
_atom_site_fract_y
_atom_site_fract_z
_atom_site_occupancy
P1 P 0.000 0.000 0.000 1
Pt1 Pt 0.000 0.500 0.250 1
C1 C 0.000 0.000 0.402 1

***

# Np4CrS7, optimized geometry, DFT PBE-GGA
# VASP energy, eV/atom: -8.6903
# Magnetization, μB per formula unit: 5.27
data_Np4CrS7
_chemical_formula_sum 'Np8 Cr2 S14'
_symmetry_space_group_name_H-M 'C 1 m 1'
_symmetry_Int_Tables_number 8
_cell_length_a 12.035
_cell_length_b 3.767
_cell_length_c 11.644
_cell_angle_alpha 90.00
_cell_angle_beta 105.68
_cell_angle_gamma 90.00
loop_
_symmetry_equiv_pos_as_xyz
'x,y,z'
'x,-y,z'
'x+1/2,y+1/2,z'
'x+1/2,-y+1/2,z'
loop_
_atom_site_label
_atom_site_type_symbol
_atom_site_fract_x
_atom_site_fract_y
_atom_site_fract_z
_atom_site_occupancy
Np1 Np 0.000 0.000 0.000 1
Np2 Np 0.068 0.500 0.328 1
Np3 Np 0.186 0.000 0.764 1
Np4 Np 0.375 0.500 0.555 1
Cr1 Cr 0.270 0.500 0.140 1
S1 S 0.038 0.500 0.625 1
S2 S 0.135 0.500 0.931 1
S3 S 0.165 0.000 0.206 1
S4 S 0.208 0.000 0.499 1
S5 S 0.354 0.500 0.780 1
S6 S 0.388 0.000 0.091 1
S7 S 0.401 0.500 0.335 1